The following is a DFT calculation (GGA-PBE) of an optimized crystal structure of Li2MgIn.

Lattice parameters (Å, degrees): 6.1756 6.1756 6.1756 103.17 103.17 122.98
Fractional positions:
Li1 0.1197 0.6250 0.9947
Li2 0.3750 0.3697 0.4947
Li3 0.6303 0.1250 0.0053
Li4 0.8750 0.8803 0.5053
Mg1 0.2500 0.7500 0.5000
Mg2 0.5000 0.5000 0.0000
In1 0.0000 0.0000 0.0000
In2 0.7500 0.2500 0.5000

Summary:
formation enthalpy at 0 K	0.007	eV/atom
crystal system	tetragonal
size of the total moment	0.000	μB per atom
VASP energy	-2.033	eV per atom
volume	174	Å³/cell